Compound: TbPrNd
Source: Alexandria
Functional: PBE-GGA
Structure: relaxed Values from VASP.

```
&SYSTEM
  ibrav = 0, nat = 12, ntyp = 3
/
ATOMIC_SPECIES
Tb 158.93 Tb.upf
Pr 140.91 Pr.upf
Nd 144.24 Nd.upf
ATOMIC_POSITIONS crystal
Tb 0.000 0.000 0.165
Tb 0.000 0.000 0.835
Tb 0.500 0.500 0.335
Tb 0.500 0.500 0.665
Pr 0.000 0.500 0.166
Pr 0.000 0.500 0.834
Pr 0.500 0.000 0.334
Pr 0.500 0.000 0.666
Nd 0.000 0.254 0.500
Nd 0.000 0.746 0.500
Nd 0.500 0.246 0.000
Nd 0.500 0.754 0.000
CELL_PARAMETERS angstrom
5.775 0.000 0.000
0.000 7.112 0.000
0.000 0.000 10.021
```

## Properties
Magnetization: 0.00 μB/atom
Excess energy over the best structure of this formula in the dataset: 38 meV per atom

---

Compound: Tb2Pr12Nd5
Source: Alexandria
Functional: PBE-GGA
Structure: relaxed Values from VASP.

```
&SYSTEM
  ibrav = 0, nat = 19, ntyp = 3
/
ATOMIC_SPECIES
Tb 158.93 Tb.upf
Pr 140.91 Pr.upf
Nd 144.24 Nd.upf
ATOMIC_POSITIONS crystal
Tb 0.221 0.779 0.000
Tb 0.779 0.221 0.000
Pr 0.001 0.001 0.323
Pr 0.081 0.585 0.475
Pr 0.093 0.587 0.131
Pr 0.413 0.907 0.869
Pr 0.415 0.919 0.525
Pr 0.474 0.474 0.756
Pr 0.526 0.526 0.244
Pr 0.585 0.081 0.475
Pr 0.587 0.093 0.131
Pr 0.907 0.413 0.869
Pr 0.919 0.415 0.525
Pr 0.999 0.999 0.677
Nd 0.173 0.173 0.209
Nd 0.315 0.315 0.814
Nd 0.500 0.500 0.500
Nd 0.685 0.685 0.186
Nd 0.827 0.827 0.791
CELL_PARAMETERS angstrom
9.462 -3.633 0.000
9.462 3.633 0.000
-3.873 0.000 9.933
```

## Properties
Magnetization: 0.00 μB/atom

---

Number 1: calculated formation energy 0.17 eV per formula unit. Number 2: calculated formation energy 3.01 eV per formula unit.